Below is Tm3GaRu after structural relaxation, with properties calculated at the PBE-GGA level.

a = 9.115 Å, b = 8.452 Å, c = 5.626 Å
α = 77.86°, β = 65.03°, γ = 37.11°
Atoms (fractional coordinates):
1 Tm 0.195 0.195 0.805
2 Tm 0.210 0.576 0.424
3 Tm 0.424 0.790 0.210
4 Tm 0.576 0.210 0.790
5 Tm 0.790 0.424 0.576
6 Tm 0.805 0.805 0.195
7 Ga 0.196 0.804 0.804
8 Ga 0.804 0.196 0.196
9 Ru 0.250 0.250 0.250
10 Ru 0.750 0.750 0.750

Calculated values
Its calculated total energy is -28.2 eV/f.u. Its formation energy is -2.45 eV/f.u. The energy above the most stable polymorph in this dataset is 0.000 eV per atom.